Entry 1:
First-principles (PBE) data for a relaxed structure of Cs3KZn2Cl8, as listed in the Alexandria database.

## Properties
- formation energy from raw total energies (eV/atom) = -1.67

CIF file:
```
data_Cs3KZn2Cl8
_space_group_name_H-M_alt 'P -3 m 1'
_space_group_IT_number 164
_space_group_name_Hall '-P 3 2"'
_cell_length_a 7.7136
_cell_length_b 7.7136
_cell_length_c 9.8168
_cell_angle_alpha 90.00
_cell_angle_beta 90.00
_cell_angle_gamma 120.00
loop_
_atom_site_label
_atom_site_fract_x
_atom_site_fract_y
_atom_site_fract_z
_atom_site_occupancy
Cs1 0.0000 0.0000 0.0000 1
Cs2 0.3333 0.6667 0.6407 1
K1 0.0000 0.0000 0.5000 1
Zn1 0.3333 0.6667 0.2095 1
Cl1 0.1752 0.3504 0.3042 1
Cl2 0.3333 0.6667 0.9824 1
```

***

Entry 2:
First-principles (PBE) data for a relaxed structure of Ba2Tl6CdRh, as listed in the Alexandria database.

## Properties
- calculated formation energy (kJ per mole of atoms) = -17

CIF file:
```
data_Ba2Tl6CdRh
_space_group_name_H-M_alt 'R -3 m'
_space_group_IT_number 166
_space_group_name_Hall '-R 3 2"'
_cell_length_a 7.5042
_cell_length_b 7.5042
_cell_length_c 38.9439
_cell_angle_alpha 90.00
_cell_angle_beta 90.00
_cell_angle_gamma 120.00
loop_
_atom_site_label
_atom_site_fract_x
_atom_site_fract_y
_atom_site_fract_z
_atom_site_occupancy
Ba1 0.0000 0.0000 0.1070 1
Ba2 0.0000 0.0000 0.2808 1
Tl1 0.0406 0.5203 0.3012 1
Tl2 0.0513 0.5257 0.8643 1
Cd1 0.0000 0.0000 0.4260 1
Rh1 0.0000 0.0000 0.0000 1
Rh2 0.0000 0.0000 0.5000 1
```

***

Entry 3:
First-principles (PBE) data for a relaxed structure of KZn2Ru2, as listed in the Alexandria database.

## Properties
- calculated formation energy (kJ per mole of atoms) = 36
- distance to the lowest polymorph of the same formula (eV per formula unit) = 0.00

CIF file:
```
data_KZn2Ru2
_space_group_name_H-M_alt 'P 4/m b m'
_space_group_IT_number 127
_space_group_name_Hall '-P 4 2ab'
_cell_length_a 8.1230
_cell_length_b 8.1230
_cell_length_c 2.6863
_cell_angle_alpha 90.00
_cell_angle_beta 90.00
_cell_angle_gamma 90.00
loop_
_atom_site_label
_atom_site_fract_x
_atom_site_fract_y
_atom_site_fract_z
_atom_site_occupancy
K1 0.0000 0.0000 0.0000 1
Zn1 0.1787 0.3213 0.0000 1
Ru1 0.1082 0.6082 0.5000 1
```

***

Entry 4:
First-principles (PBE) data for a relaxed structure of Sr3CaV, as listed in the Alexandria database.

## Properties
- calculated formation energy (kJ per mole of atoms) = 54
- distance to the lowest polymorph of the same formula (eV per formula unit) = 0.00

CIF file:
```
data_Sr3CaV
_space_group_name_H-M_alt 'P m -3 m'
_space_group_IT_number 221
_space_group_name_Hall '-P 4 2 3'
_cell_length_a 6.2766
_cell_length_b 6.2766
_cell_length_c 6.2766
_cell_angle_alpha 90.00
_cell_angle_beta 90.00
_cell_angle_gamma 90.00
loop_
_atom_site_label
_atom_site_fract_x
_atom_site_fract_y
_atom_site_fract_z
_atom_site_occupancy
Sr1 0.0000 0.0000 0.5000 1
Ca1 0.5000 0.5000 0.5000 1
V1 0.0000 0.0000 0.0000 1
```

***

What are the total energy values for these records? In order: -3.17 -2.81 -4.06 -2.67 eV per atom.